RbCoS2: optimized geometry, PBE.

## Properties
The calculated total energy is -76.11 eV per cell. The calculated volume comes out at 103 Å³/f.u. Its raw formation energy is -2.70 eV/f.u. The value obtained for the size of the total moment is 2.15 Bohr magnetons per cell.

abc: 7.2422 11.6585 5.2168
angles: 90.00 110.95 90.00
Last column: nearest neighbours and their distance in Å.
Space group C2/c (No. 15)
Symmetry-distinct sites (fractional):
Rb (0.0000, 0.1434, 0.2500) x4  8 S 3.42-3.60
Co (0.0000, 0.4999, 0.2500) x4  4 S 2.15
S (0.1791, 0.3967, 0.0886) x8  2 Co 2.15